Entry 1:
# Zr2AgP (PBE-GGA, optimized geometry)
# formation energy: -366 meV/atom
# crystal system: orthorhombic
# total moment: 0.0 Bohr magnetons per cell
data_Zr2AgP
_symmetry_space_group_name_H-M 'I m m 2'
_symmetry_Int_Tables_number 44
_symmetry_space_group_name_Hall 'I 2 -2'
_cell_length_a 3.404
_cell_length_b 4.513
_cell_length_c 9.905
_cell_angle_alpha 90.00
_cell_angle_beta 90.00
_cell_angle_gamma 90.00
loop_
_atom_site_label
_atom_site_type_symbol
_atom_site_fract_x
_atom_site_fract_y
_atom_site_fract_z
Zr1 Zr 0.000 0.000 0.000
Zr2 Zr 0.000 0.500 0.218
Ag1 Ag 0.000 0.000 0.432
P1 P 0.000 0.500 0.712

Entry 2:
# ZrAg3P (PBE-GGA, optimized geometry)
# formation energy: 513 meV/atom
# crystal system: cubic
# ΔE to the lowest computed polymorph: 0.000 eV per atom
# total moment: 0.7 Bohr magnetons per cell
data_ZrAg3P
_symmetry_space_group_name_H-M 'P m -3 m'
_symmetry_Int_Tables_number 221
_symmetry_space_group_name_Hall '-P 4 2 3'
_cell_length_a 4.702
_cell_length_b 4.702
_cell_length_c 4.702
_cell_angle_alpha 90.00
_cell_angle_beta 90.00
_cell_angle_gamma 90.00
loop_
_atom_site_label
_atom_site_type_symbol
_atom_site_fract_x
_atom_site_fract_y
_atom_site_fract_z
Zr1 Zr 0.000 0.000 0.000
Ag1 Ag 0.000 0.500 0.500
P1 P 0.500 0.500 0.500

Entry 3:
# Zr2AgP (PBE-GGA, optimized geometry)
# formation energy: -418 meV/atom
# crystal system: tetragonal
# total moment: 0.0 Bohr magnetons per cell
data_Zr2AgP
_symmetry_space_group_name_H-M 'P 4 m m'
_symmetry_Int_Tables_number 99
_symmetry_space_group_name_Hall 'P 4 -2'
_cell_length_a 3.706
_cell_length_b 3.706
_cell_length_c 5.728
_cell_angle_alpha 90.00
_cell_angle_beta 90.00
_cell_angle_gamma 90.00
loop_
_atom_site_label
_atom_site_type_symbol
_atom_site_fract_x
_atom_site_fract_y
_atom_site_fract_z
Zr1 Zr 0.000 0.000 0.000
Zr2 Zr 0.500 0.500 0.327
Ag1 Ag 0.500 0.500 0.804
P1 P 0.000 0.000 0.485

Entry 4:
# ZrAgP (PBE-GGA, optimized geometry)
# formation energy: -287 meV/atom
# crystal system: orthorhombic
# total moment: 0.0 Bohr magnetons per cell
data_ZrAgP
_symmetry_space_group_name_H-M 'F m m 2'
_symmetry_Int_Tables_number 42
_symmetry_space_group_name_Hall 'F 2 -2'
_cell_length_a 4.045
_cell_length_b 5.077
_cell_length_c 11.022
_cell_angle_alpha 90.00
_cell_angle_beta 90.00
_cell_angle_gamma 90.00
loop_
_atom_site_label
_atom_site_type_symbol
_atom_site_fract_x
_atom_site_fract_y
_atom_site_fract_z
Zr1 Zr 0.000 0.000 0.000
Ag1 Ag 0.000 0.000 0.699
P1 P 0.000 0.000 0.360

Entry 5:
# ZrAg3P (PBE-GGA, optimized geometry)
# formation energy: 1616 meV/atom
# crystal system: cubic
# ΔE to the lowest computed polymorph: 1.103 eV per atom
# total moment: 1.1 Bohr magnetons per cell
data_ZrAg3P
_symmetry_space_group_name_H-M 'P m -3 m'
_symmetry_Int_Tables_number 221
_symmetry_space_group_name_Hall '-P 4 2 3'
_cell_length_a 5.228
_cell_length_b 5.228
_cell_length_c 5.228
_cell_angle_alpha 90.00
_cell_angle_beta 90.00
_cell_angle_gamma 90.00
loop_
_atom_site_label
_atom_site_type_symbol
_atom_site_fract_x
_atom_site_fract_y
_atom_site_fract_z
Zr1 Zr 0.000 0.000 0.000
Ag1 Ag 0.000 0.000 0.500
P1 P 0.500 0.500 0.500

Entry 6:
# Zr2AgP2 (PBE-GGA, optimized geometry)
# formation energy: -867 meV/atom
# crystal system: tetragonal
# total moment: 0.0 Bohr magnetons per cell
data_Zr2AgP2
_symmetry_space_group_name_H-M 'P 4/m b m'
_symmetry_Int_Tables_number 127
_symmetry_space_group_name_Hall '-P 4 2ab'
_cell_length_a 7.184
_cell_length_b 7.184
_cell_length_c 3.445
_cell_angle_alpha 90.00
_cell_angle_beta 90.00
_cell_angle_gamma 90.00
loop_
_atom_site_label
_atom_site_type_symbol
_atom_site_fract_x
_atom_site_fract_y
_atom_site_fract_z
Zr1 Zr 0.152 0.348 0.000
Ag1 Ag 0.000 0.000 0.500
P1 P 0.145 0.645 0.500

Entry 7:
# Zr2AgP (PBE-GGA, optimized geometry)
# formation energy: -521 meV/atom
# crystal system: monoclinic
# total moment: 0.0 Bohr magnetons per cell
data_Zr2AgP
_symmetry_space_group_name_H-M 'P 1 2/m 1'
_symmetry_Int_Tables_number 10
_symmetry_space_group_name_Hall '-P 2y'
_cell_length_a 3.081
_cell_length_b 3.539
_cell_length_c 7.110
_cell_angle_alpha 90.00
_cell_angle_beta 98.19
_cell_angle_gamma 90.00
loop_
_atom_site_label
_atom_site_type_symbol
_atom_site_fract_x
_atom_site_fract_y
_atom_site_fract_z
Zr1 Zr 0.100 0.000 0.277
Ag1 Ag 0.500 0.500 0.000
P1 P 0.500 0.500 0.500

Entry 8:
# Zr2AgP (PBE-GGA, optimized geometry)
# formation energy: -444 meV/atom
# crystal system: orthorhombic
# total moment: 0.0 Bohr magnetons per cell
data_Zr2AgP
_symmetry_space_group_name_H-M 'I m m m'
_symmetry_Int_Tables_number 71
_symmetry_space_group_name_Hall '-I 2 2'
_cell_length_a 3.954
_cell_length_b 4.992
_cell_length_c 7.750
_cell_angle_alpha 90.00
_cell_angle_beta 90.00
_cell_angle_gamma 90.00
loop_
_atom_site_label
_atom_site_type_symbol
_atom_site_fract_x
_atom_site_fract_y
_atom_site_fract_z
Zr1 Zr 0.000 0.000 0.226
Ag1 Ag 0.000 0.500 0.000
P1 P 0.000 0.500 0.500

The calculation returns the following electronic total energy values, one per record and in order: -6.706 -3.989 -6.758 -5.890 -2.886 -7.021 -6.860 -6.784 eV per atom.
The calculation returns the following N(E_F) values, one per record and in order: 0.709 0.879 0.651 0.274 1.152 0.488 0.849 0.682 states/eV/atom.